# Co2PtW | the Alexandria database | PBE | optimized geometry
# D(E_F) = 4.1 states/eV/f.u.
# Excess energy over the best structure of this formula in the dataset = 228 meV per atom
# VASP energy = -0.602 Ry/atom
data_Co2PtW
_symmetry_space_group_name_H-M 'R -3 m'
_symmetry_Int_Tables_number 166
_symmetry_space_group_name_Hall '-R 3 2"'
_cell_length_a 2.7024
_cell_length_b 2.7024
_cell_length_c 25.8583
_cell_angle_alpha 90.00
_cell_angle_beta 90.00
_cell_angle_gamma 120.00
loop_
_atom_site_label
_atom_site_type_symbol
_atom_site_fract_x
_atom_site_fract_y
_atom_site_fract_z
Co1 Co 0.0000 0.0000 0.2493
Pt1 Pt 0.0000 0.0000 0.0000
W1 W 0.0000 0.0000 0.5000

=====

# TeOs2Se | the Alexandria database | PBE | optimized geometry
# D(E_F) = 4.0 states/eV/f.u.
# Excess energy over the best structure of this formula in the dataset = 171 meV per atom
# VASP energy = -0.495 Ry/atom
# ΔE_f (raw) = 0.5412 eV per atom
data_TeOs2Se
_symmetry_space_group_name_H-M 'R 3 m'
_symmetry_Int_Tables_number 160
_symmetry_space_group_name_Hall 'R 3 -2"'
_cell_length_a 3.0694
_cell_length_b 3.0694
_cell_length_c 28.7258
_cell_angle_alpha 90.00
_cell_angle_beta 90.00
_cell_angle_gamma 120.00
loop_
_atom_site_label
_atom_site_type_symbol
_atom_site_fract_x
_atom_site_fract_y
_atom_site_fract_z
Te1 Te 0.0000 0.0000 0.0000
Os1 Os 0.0000 0.0000 0.2615
Os2 Os 0.0000 0.0000 0.5193
Se1 Se 0.0000 0.0000 0.7918

=====

# Nd2Dy4YSc | the Alexandria database | PBE | optimized geometry
# D(E_F) = 11.8 states/eV/f.u.
# VASP energy = -0.372 Ry/atom
data_Nd2Dy4YSc
_symmetry_space_group_name_H-M 'P 4/m m m'
_symmetry_Int_Tables_number 123
_symmetry_space_group_name_Hall '-P 4 2'
_cell_length_a 5.028
_cell_length_b 5.028
_cell_length_c 9.984
_cell_angle_alpha 90.00
_cell_angle_beta 90.00
_cell_angle_gamma 90.00
loop_
_atom_site_label
_atom_site_type_symbol
_atom_site_fract_x
_atom_site_fract_y
_atom_site_fract_z
Nd1 Nd 0.000 0.000 0.000
Nd2 Nd 0.500 0.500 0.500
Dy1 Dy 0.000 0.500 0.245
Y1 Y 0.000 0.000 0.500
Sc1 Sc 0.500 0.500 0.000

=====

# TbPr2NdY5 | the Alexandria database | PBE | optimized geometry
# D(E_F) = 10.2 states/eV/f.u.
# VASP energy = -0.401 Ry/atom
data_TbPr2NdY5
_symmetry_space_group_name_H-M 'I 4/m c m'
_symmetry_Int_Tables_number 140
_symmetry_space_group_name_Hall '-I 4 2c'
_cell_length_a 8.693
_cell_length_b 8.693
_cell_length_c 15.872
_cell_angle_alpha 90.00
_cell_angle_beta 90.00
_cell_angle_gamma 90.00
loop_
_atom_site_label
_atom_site_type_symbol
_atom_site_fract_x
_atom_site_fract_y
_atom_site_fract_z
Tb1 Tb 0.000 0.000 0.250
Pr1 Pr 0.119 0.381 0.000
Nd1 Nd 0.000 0.500 0.250
Y1 Y 0.000 0.000 0.000
Y2 Y 0.209 0.291 0.361

=====

# Sr2SbRh | the Alexandria database | PBE | optimized geometry
# D(E_F) = 5.0 states/eV/f.u.
# VASP energy = -0.284 Ry/atom
# ΔE_f (raw) = -0.1508 eV per atom
data_Sr2SbRh
_symmetry_space_group_name_H-M 'P m m 2'
_symmetry_Int_Tables_number 25
_cell_length_a 3.608
_cell_length_b 5.353
_cell_length_c 6.522
_cell_angle_alpha 90.00
_cell_angle_beta 90.00
_cell_angle_gamma 90.00
loop_
_symmetry_equiv_pos_as_xyz
'x,y,z'
'-x,-y,z'
'-x,y,z'
'x,-y,z'
loop_
_atom_site_label
_atom_site_type_symbol
_atom_site_fract_x
_atom_site_fract_y
_atom_site_fract_z
Sr1 Sr 0.000 0.000 0.000
Sr2 Sr 0.500 0.500 0.431
Sb1 Sb 0.500 0.500 0.925
Rh1 Rh 0.000 0.000 0.472

=====

# ZrS3Br | the Alexandria database | PBE | optimized geometry
# D(E_F) = 3.9 states/eV/f.u.
# VASP energy = -0.281 Ry/atom
# ΔE_f (raw) = 0.6934 eV per atom
data_ZrS3Br
_symmetry_space_group_name_H-M 'P m -3 m'
_symmetry_Int_Tables_number 221
_symmetry_space_group_name_Hall '-P 4 2 3'
_cell_length_a 4.754
_cell_length_b 4.754
_cell_length_c 4.754
_cell_angle_alpha 90.00
_cell_angle_beta 90.00
_cell_angle_gamma 90.00
loop_
_atom_site_label
_atom_site_type_symbol
_atom_site_fract_x
_atom_site_fract_y
_atom_site_fract_z
Zr1 Zr 0.000 0.000 0.000
S1 S 0.000 0.500 0.500
Br1 Br 0.500 0.500 0.500

=====

# Er3Ga5Au6 | the Alexandria database | PBE | optimized geometry
# D(E_F) = 7.1 states/eV/f.u.
# VASP energy = -0.299 Ry/atom
data_Er3Ga5Au6
_symmetry_space_group_name_H-M 'P m m n'
_symmetry_Int_Tables_number 59
_cell_length_a 4.337
_cell_length_b 13.485
_cell_length_c 9.404
_cell_angle_alpha 90.00
_cell_angle_beta 90.00
_cell_angle_gamma 90.00
loop_
_symmetry_equiv_pos_as_xyz
'x,y,z'
'-x,-y,-z'
'-x+1/2,-y+1/2,z'
'x+1/2,y+1/2,-z'
'x+1/2,-y,-z'
'-x+1/2,y,z'
'-x,y+1/2,-z'
'x,-y+1/2,z'
loop_
_atom_site_label
_atom_site_type_symbol
_atom_site_fract_x
_atom_site_fract_y
_atom_site_fract_z
Er1 Er 0.250 0.072 0.240
Er2 Er 0.250 0.750 0.240
Ga1 Ga 0.250 0.083 0.856
Ga2 Ga 0.250 0.642 0.547
Ga3 Ga 0.250 0.750 0.794
Au1 Au 0.250 0.051 0.589
Au2 Au 0.250 0.250 0.024
Au3 Au 0.250 0.250 0.506
Au4 Au 0.250 0.596 0.999

=====

# NaBi3Se4 | the Alexandria database | PBE | optimized geometry
# D(E_F) = 3.8 states/eV/f.u.
# Excess energy over the best structure of this formula in the dataset = 0 meV per atom
# VASP energy = -0.280 Ry/atom
# ΔE_f (raw) = -0.4522 eV per atom
data_NaBi3Se4
_symmetry_space_group_name_H-M 'P m m n'
_symmetry_Int_Tables_number 59
_cell_length_a 6.035
_cell_length_b 12.075
_cell_length_c 6.235
_cell_angle_alpha 90.00
_cell_angle_beta 90.00
_cell_angle_gamma 90.00
loop_
_symmetry_equiv_pos_as_xyz
'x,y,z'
'-x,-y,-z'
'-x+1/2,-y+1/2,z'
'x+1/2,y+1/2,-z'
'x+1/2,-y,-z'
'-x+1/2,y,z'
'-x,y+1/2,-z'
'x,-y+1/2,z'
loop_
_atom_site_label
_atom_site_type_symbol
_atom_site_fract_x
_atom_site_fract_y
_atom_site_fract_z
Na1 Na 0.250 0.250 0.238
Bi1 Bi 0.250 0.502 0.739
Bi2 Bi 0.250 0.750 0.239
Se1 Se 0.250 0.250 0.734
Se2 Se 0.250 0.506 0.209
Se3 Se 0.250 0.750 0.771

=====

# EuHg2Br | the Alexandria database | PBE | optimized geometry
# D(E_F) = 8.6 states/eV/f.u.
# VASP energy = -0.248 Ry/atom
# ΔE_f (raw) = -0.2326 eV per atom
data_EuHg2Br
_symmetry_space_group_name_H-M 'R -3 m'
_symmetry_Int_Tables_number 166
_symmetry_space_group_name_Hall '-R 3 2"'
_cell_length_a 4.0059
_cell_length_b 4.0059
_cell_length_c 31.7202
_cell_angle_alpha 90.00
_cell_angle_beta 90.00
_cell_angle_gamma 120.00
loop_
_atom_site_label
_atom_site_type_symbol
_atom_site_fract_x
_atom_site_fract_y
_atom_site_fract_z
Eu1 Eu 0.0000 0.0000 0.0000
Hg1 Hg 0.0000 0.0000 0.0991
Br1 Br 0.0000 0.0000 0.5000

=====

# CuTcW2 | the Alexandria database | PBE | optimized geometry
# D(E_F) = 5.4 states/eV/f.u.
# Excess energy over the best structure of this formula in the dataset = 141 meV per atom
# VASP energy = -0.717 Ry/atom
data_CuTcW2
_symmetry_space_group_name_H-M 'R -3 m'
_symmetry_Int_Tables_number 166
_symmetry_space_group_name_Hall '-R 3 2"'
_cell_length_a 2.7687
_cell_length_b 2.7687
_cell_length_c 27.2606
_cell_angle_alpha 90.00
_cell_angle_beta 90.00
_cell_angle_gamma 120.00
loop_
_atom_site_label
_atom_site_type_symbol
_atom_site_fract_x
_atom_site_fract_y
_atom_site_fract_z
Cu1 Cu 0.0000 0.0000 0.0000
Tc1 Tc 0.0000 0.0000 0.5000
W1 W 0.0000 0.0000 0.2501

=====

# Ca4PrY3Te8 | the Alexandria database | PBE | optimized geometry
# D(E_F) = 6.3 states/eV/f.u.
# VASP energy = -0.372 Ry/atom
# ΔE_f (raw) = -1.4811 eV per atom
data_Ca4PrY3Te8
_symmetry_space_group_name_H-M 'R -3 m'
_symmetry_Int_Tables_number 166
_symmetry_space_group_name_Hall '-R 3 2"'
_cell_length_a 8.8336
_cell_length_b 8.8336
_cell_length_c 22.1480
_cell_angle_alpha 90.00
_cell_angle_beta 90.00
_cell_angle_gamma 120.00
loop_
_atom_site_label
_atom_site_type_symbol
_atom_site_fract_x
_atom_site_fract_y
_atom_site_fract_z
Ca1 Ca 0.0000 0.0000 0.0000
Ca2 Ca 0.0000 0.5000 0.0000
Pr1 Pr 0.0000 0.0000 0.5000
Y1 Y 0.0000 0.5000 0.5000
Te1 Te 0.0000 0.0000 0.2483
Te2 Te 0.0066 0.5033 0.7501

=====

# CsZr3Br | the Alexandria database | PBE | optimized geometry
# D(E_F) = 8.2 states/eV/f.u.
# Excess energy over the best structure of this formula in the dataset = 1143 meV per atom
# VASP energy = -0.266 Ry/atom
# ΔE_f (raw) = 2.0111 eV per atom
data_CsZr3Br
_symmetry_space_group_name_H-M 'P m -3 m'
_symmetry_Int_Tables_number 221
_symmetry_space_group_name_Hall '-P 4 2 3'
_cell_length_a 5.345
_cell_length_b 5.345
_cell_length_c 5.345
_cell_angle_alpha 90.00
_cell_angle_beta 90.00
_cell_angle_gamma 90.00
loop_
_atom_site_label
_atom_site_type_symbol
_atom_site_fract_x
_atom_site_fract_y
_atom_site_fract_z
Cs1 Cs 0.000 0.000 0.000
Zr1 Zr 0.000 0.000 0.500
Br1 Br 0.500 0.500 0.500

=====

What did the sixth record say?
# ZrS3Br | the Alexandria database | PBE | optimized geometry
# D(E_F) = 3.9 states/eV/f.u.
# VASP energy = -0.281 Ry/atom
# ΔE_f (raw) = 0.6934 eV per atom
data_ZrS3Br
_symmetry_space_group_name_H-M 'P m -3 m'
_symmetry_Int_Tables_number 221
_symmetry_space_group_name_Hall '-P 4 2 3'
_cell_length_a 4.754
_cell_length_b 4.754
_cell_length_c 4.754
_cell_angle_alpha 90.00
_cell_angle_beta 90.00
_cell_angle_gamma 90.00
loop_
_atom_site_label
_atom_site_type_symbol
_atom_site_fract_x
_atom_site_fract_y
_atom_site_fract_z
Zr1 Zr 0.000 0.000 0.000
S1 S 0.000 0.500 0.500
Br1 Br 0.500 0.500 0.500